# 1
# PBE TaCo2HOs, relaxed
data_TaCo2HOs
_cell_length_a 3.711
_cell_length_b 3.711
_cell_length_c 3.981
_cell_angle_alpha 90.00
_cell_angle_beta 90.00
_cell_angle_gamma 90.00
_symmetry_space_group_name_H-M 'P 4/m m m'
_symmetry_Int_Tables_number 123
_symmetry_space_group_name_Hall '-P 4 2'
loop_
_atom_site_label
_atom_site_fract_x
_atom_site_fract_y
_atom_site_fract_z
Ta1 0.000 0.000 0.000
Co1 0.000 0.500 0.500
H1 0.000 0.000 0.500
Os1 0.500 0.500 0.000
# Total moment   0.001 μB per cell
# E above lowest polymorph   47 meV per atom
# D(E_F)   3.74 states/eV/f.u.

# 2
# PBE Co4Te5, relaxed
data_Co4Te5
_cell_length_a 7.4381
_cell_length_b 7.4381
_cell_length_c 7.3071
_cell_angle_alpha 90.00
_cell_angle_beta 90.00
_cell_angle_gamma 120.00
_symmetry_space_group_name_H-M 'P 63/m c m'
_symmetry_Int_Tables_number 193
_symmetry_space_group_name_Hall '-P 6c 2'
loop_
_atom_site_label
_atom_site_fract_x
_atom_site_fract_y
_atom_site_fract_z
Co1 0.0000 0.0000 0.0000
Co2 0.0000 0.4187 0.2500
Te1 0.0000 0.2455 0.7500
Te2 0.3333 0.6667 0.0000
# Total moment   1.040 μB per cell
# E above lowest polymorph   0 meV per atom
# D(E_F)   10.21 states/eV/f.u.
# Formation energy (no corrections)   0.342 eV/atom

# 3
# PBE Zr5TiZn4, relaxed
data_Zr5TiZn4
_cell_length_a 3.307
_cell_length_b 3.307
_cell_length_c 17.415
_cell_angle_alpha 90.00
_cell_angle_beta 90.00
_cell_angle_gamma 90.00
_symmetry_space_group_name_H-M 'P 4/m m m'
_symmetry_Int_Tables_number 123
_symmetry_space_group_name_Hall '-P 4 2'
loop_
_atom_site_label
_atom_site_fract_x
_atom_site_fract_y
_atom_site_fract_z
Zr1 0.000 0.000 0.000
Zr2 0.000 0.000 0.196
Zr3 0.000 0.000 0.393
Ti1 0.500 0.500 0.500
Zn1 0.500 0.500 0.098
Zn2 0.500 0.500 0.294
# Total moment   0.000 μB per cell
# D(E_F)   8.23 states/eV/f.u.
# DFT formation energy   -197 kJ/mol of formula units